Record 1
SiTc2Te: optimized geometry, PBE.

Summary:
The spin magnetization is 0.0 μB per cell. The uncorrected formation energy comes out at 0.1327 eV/atom. The energy relative to the lowest polymorph listed for this composition comes out at 0.1375 eV/atom.

Lattice parameters (Å, degrees): 3.1313 3.1313 7.8921 90.00 90.00 90.00
Closest atoms and distances in Å follow each position.
Space group P4mm (No. 99)
Unique sites:
Si  0.0000  0.0000  0.0000  4 Tc 2.42
Tc  0.0000  0.0000  0.3574  4 Te 2.73, 1 Si 2.82, 4 Tc 2.88
Tc  0.5000  0.5000  0.1247  4 Si 2.42
Te  0.5000  0.5000  0.5596  4 Tc 2.73

***

Record 2
Ba2SiRu: optimized geometry, PBE.

Summary:
The spin magnetization is 0.4 μB per cell. The uncorrected formation energy comes out at 0.5079 eV/atom.

Lattice parameters (Å, degrees): 4.0448 4.0448 7.0595 90.00 90.00 90.00
Closest atoms and distances in Å follow each position.
Space group P4/mmm (No. 123)
Unique sites:
Ba  0.0000  0.0000  0.2456  4 Ru 3.34, 4 Si 3.38, 2 Ba 3.47-3.59
Si  0.5000  0.5000  0.5000  8 Ba 3.38, 2 Ru 3.53
Ru  0.5000  0.5000  0.0000  8 Ba 3.34, 2 Si 3.53